[1]
VASP calculation (PBE) on crystalline Nb2CuHOs at its relaxed geometry.

a b c (Å): 4.1008 4.1008 3.8526
angles (deg): 90.00 90.00 90.00
With the nearest neighbours (Å) after each atom.
Space group P4/mmm (No. 123)
One atom of each set of equivalent atoms:
Nb: 0.0000 0.5000 0.0000  2 H 2.05
Cu: 0.0000 0.0000 0.5000  2 H 1.93
H: 0.0000 0.0000 0.0000  2 Cu 1.93, 4 Nb 2.05
Os: 0.5000 0.5000 0.5000  8 Nb 2.81, 4 Cu 2.90

Properties
DOS(E_F) (states/eV per cell): 3.13
Uncorrected energy (eV/atom): -7.80

***

[2]
VASP calculation (PBE) on crystalline Ca2TaAs at its relaxed geometry.

a b c (Å): 6.0501 9.7525 3.1070
angles (deg): 90.00 90.00 90.00
With the nearest neighbours (Å) after each atom.
Space group Cmmm (No. 65)
One atom of each set of equivalent atoms:
Ca: 0.2500 0.2500 0.0000  4 Ca 3.03-3.11, 4 Ta 3.26, 4 As 3.26
Ta: 0.0000 0.0000 0.5000  2 As 3.03, 2 Ta 3.11, 8 Ca 3.26
As: 0.0000 0.5000 0.5000  2 Ta 3.03, 2 As 3.11, 8 Ca 3.26

Properties
DOS(E_F) (states/eV per cell): 7.34
E_form (meV/atom): 227

***

[3]
VASP calculation (PBE) on crystalline ScTiBe2Ni at its relaxed geometry.

a b c (Å): 4.4552 4.4552 4.1856
angles (deg): 90.00 90.00 90.00
With the nearest neighbours (Å) after each atom.
Space group P4/mmm (No. 123)
One atom of each set of equivalent atoms:
Sc: 0.0000 0.0000 0.0000  8 Be 3.06, 4 Ni 3.15
Ti: 0.5000 0.5000 0.5000  2 Ni 2.09, 4 Be 2.23
Be: 0.0000 0.5000 0.5000  2 Ti 2.23
Ni: 0.5000 0.5000 0.0000  2 Ti 2.09

Properties
DOS(E_F) (states/eV per cell): 3.28
E_form (meV/atom): 736

***

[4]
VASP calculation (PBE) on crystalline NiAg2Pb at its relaxed geometry.

a b c (Å): 3.9897 3.9897 9.2683
angles (deg): 90.00 90.00 90.00
With the nearest neighbours (Å) after each atom.
Space group I4/mmm (No. 139)
One atom of each set of equivalent atoms:
Ni: 0.0000 0.0000 0.0000  4 Pb 2.82, 8 Ag 3.06
Ag: 0.0000 0.5000 0.2500  4 Ag 2.82, 4 Pb 3.06, 4 Ni 3.06
Pb: 0.0000 0.0000 0.5000  4 Ni 2.82, 8 Ag 3.06

Properties
DOS(E_F) (states/eV per cell): 3.20
E_form (meV/atom): 218

***

[5]
VASP calculation (PBE) on crystalline La4RuI2Br at its relaxed geometry.

a b c (Å): 7.8911 4.2194 8.2885
angles (deg): 90.00 105.99 90.00
With the nearest neighbours (Å) after each atom.
Space group P2/m (No. 10)
One atom of each set of equivalent atoms:
La: 0.1991 0.0000 0.1919  2 Ru 2.84
La: 0.2338 0.5000 0.7940  1 Ru 2.84, 2 Br 3.13
Ru: 0.0000 0.5000 0.0000  6 La 2.84
I: 0.0000 0.0000 0.5000  6 La 3.35-3.36
I: 0.5000 0.5000 0.5000  6 La 3.63-3.64
Br: 0.5000 0.0000 0.0000  6 La 3.13-3.20

Properties
DOS(E_F) (states/eV per cell): 7.29
Uncorrected formation energy (eV per atom): -0.97

***

[6]
VASP calculation (PBE) on crystalline Ba2NdBi3Pd4 at its relaxed geometry.

a b c (Å): 4.8601 4.8601 11.7463
angles (deg): 90.00 90.00 90.00
With the nearest neighbours (Å) after each atom.
Space group P-4m2 (No. 115)
One atom of each set of equivalent atoms:
Ba: 0.0000 0.5000 0.2245  8 Pd 3.59-3.78, 4 Bi 3.65
Nd: 0.0000 0.0000 0.5000  4 Pd 2.94
Bi: 0.0000 0.5000 0.8791  5 Pd 2.79-2.81
Bi: 0.5000 0.5000 0.5000  4 Pd 2.94
Pd: 0.0000 0.0000 0.0000  4 Bi 2.81
Pd: 0.0000 0.5000 0.6416  3 Bi 2.79-2.94, 2 Nd 2.94
Pd: 0.5000 0.5000 0.0000  4 Bi 2.81

Properties
DOS(E_F) (states/eV per cell): 5.95
E_form (meV/atom): -688

***

[7]
VASP calculation (PBE) on crystalline Ba2Sr4Ca3 at its relaxed geometry.

a b c (Å): 19.9870 4.6678 10.5104
angles (deg): 90.00 108.67 90.00
With the nearest neighbours (Å) after each atom.
Space group C2/m (No. 12)
One atom of each set of equivalent atoms:
Ba: 0.1603 0.0000 0.4864  4 Ca 4.00-4.05, 3 Sr 4.17-4.47, 2 Ba 4.21
Sr: 0.0520 0.0000 0.8291  6 Ca 3.99-4.02, 2 Sr 4.16
Sr: 0.2252 0.5000 0.8335  2 Ca 4.03, 4 Sr 4.06-4.16, 2 Ba 4.17
Ca: 0.0000 0.5000 0.5000  4 Ba 4.00, 4 Sr 4.02
Ca: 0.1085 0.5000 0.1536  6 Sr 3.99-4.03, 2 Ba 4.05

Properties
DOS(E_F) (states/eV per cell): 23.14
E_form (meV/atom): 24

***

[8]
VASP calculation (PBE) on crystalline Pm2Ho5In at its relaxed geometry.

a b c (Å): 4.9036 4.9036 20.2421
angles (deg): 90.00 90.00 90.00
With the nearest neighbours (Å) after each atom.
Space group I4/mmm (No. 139)
One atom of each set of equivalent atoms:
Pm: 0.0000 0.0000 0.2445  4 Pm 3.47, 8 Ho 3.53-3.69
Ho: 0.0000 0.0000 0.0000  8 Ho 3.44, 4 In 3.47
Ho: 0.0000 0.5000 0.1194  2 In 3.44, 6 Ho 3.44-3.47, 4 Pm 3.53-3.69
In: 0.0000 0.0000 0.5000  12 Ho 3.44-3.47

Properties
DOS(E_F) (states/eV per cell): 20.47
E_form (meV/atom): -104